DFT (meta-GGA SCAN) results for a PBEsol-optimized structure of HgOsS2Cl.

a = 4.5178 Å, b = 4.5178 Å, c = 4.9870 Å
α = 90.00°, β = 90.00°, γ = 90.00°
Closest atoms and distances in Å follow each position.
Fractional positions:
Hg 0.0000 0.0000 0.0000  4 Cl 3.19, 8 S 3.36
Os 0.5000 0.5000 0.5000  4 S 2.26, 2 Cl 2.49
S 0.0000 0.5000 0.5000  2 Os 2.26
S 0.5000 0.0000 0.5000  2 Os 2.26
Cl 0.5000 0.5000 0.0000  2 Os 2.49

Calculated values
Fermi-level density of states	0.5794	states/eV/atom
energy	-165.92	eV/cell
space group	No. 123
energy relative to the elements, uncorrected	271	meV per atom

=====

DFT (meta-GGA SCAN) results for a PBEsol-optimized structure of TiHgOs2Cl.

a = 4.3814 Å, b = 4.3814 Å, c = 4.2918 Å
α = 90.00°, β = 90.00°, γ = 90.00°
Closest atoms and distances in Å follow each position.
Fractional positions:
Ti 0.0000 0.0000 0.0000  2 Cl 2.15
Hg 0.5000 0.5000 0.0000  8 Os 3.07, 4 Ti 3.10
Os 0.0000 0.5000 0.5000  2 Cl 2.19
Os 0.5000 0.0000 0.5000  2 Cl 2.19
Cl 0.0000 0.0000 0.5000  2 Ti 2.15, 4 Os 2.19

Calculated values
Fermi-level density of states	0.7117	states/eV/atom
energy	-230.07	eV/cell
space group	No. 123
energy relative to the elements, uncorrected	1172	meV per atom

=====

DFT (meta-GGA SCAN) results for a PBEsol-optimized structure of ZrHg2OsCl.

a = 5.1962 Å, b = 5.1962 Å, c = 4.1816 Å
α = 90.00°, β = 90.00°, γ = 90.00°
Closest atoms and distances in Å follow each position.
Fractional positions:
Zr 0.0000 0.0000 0.0000  8 Hg 3.33, 4 Os 3.67
Hg 0.0000 0.5000 0.5000  2 Cl 2.60
Hg 0.5000 0.0000 0.5000  2 Cl 2.60
Os 0.5000 0.5000 0.0000  2 Cl 2.09
Cl 0.5000 0.5000 0.5000  2 Os 2.09

Calculated values
Fermi-level density of states	0.6430	states/eV/atom
energy	-240.48	eV/cell
space group	No. 123
energy relative to the elements, uncorrected	1281	meV per atom

=====

DFT (meta-GGA SCAN) results for a PBEsol-optimized structure of HgP2Cl.

a = 4.6013 Å, b = 4.6013 Å, c = 4.6013 Å
α = 110.61°, β = 110.61°, γ = 107.22°
Closest atoms and distances in Å follow each position.
Fractional positions:
Hg 0.0000 0.0000 0.0000  4 P 2.62, 2 Cl 2.73
P 0.0000 0.5000 0.5000  2 Hg 2.62, 2 Cl 2.62, 2 P 2.73
P 0.5000 0.0000 0.5000  2 Hg 2.62, 2 Cl 2.62, 2 P 2.73
Cl 0.5000 0.5000 0.0000  4 P 2.62, 2 Hg 2.73

Calculated values
Fermi-level density of states	0.2816	states/eV/atom
energy	-95.05	eV/cell
space group	No. 139
energy relative to the elements, uncorrected	473	meV per atom

=====

DFT (meta-GGA SCAN) results for a PBEsol-optimized structure of Hg4PCl.

a = 5.7399 Å, b = 5.7399 Å, c = 5.7399 Å
α = 60.00°, β = 60.00°, γ = 60.00°
Closest atoms and distances in Å follow each position.
Fractional positions:
Hg 0.1250 0.1250 0.1250  6 Hg 2.87
Hg 0.1250 0.1250 0.6249  6 Hg 2.87
Hg 0.1250 0.6249 0.1250  6 Hg 2.87
Hg 0.6249 0.1250 0.1250  6 Hg 2.87
P 0.7500 0.7500 0.7500  12 Hg 3.37, 4 Cl 3.51
Cl 0.5000 0.5000 0.5000  12 Hg 3.37, 4 P 3.51

Calculated values
Fermi-level density of states	0.2955	states/eV/atom
energy	-288.56	eV/cell
space group	No. 216
energy relative to the elements, uncorrected	413	meV per atom

=====

DFT (meta-GGA SCAN) results for a PBEsol-optimized structure of HgPCl2.

a = 4.3419 Å, b = 4.3419 Å, c = 7.4481 Å
α = 92.38°, β = 92.38°, γ = 50.63°
Closest atoms and distances in Å follow each position.
Fractional positions:
Hg 0.0000 0.0000 0.0000  3 P 2.55-2.58, 2 Cl 2.65
P 0.3027 0.3027 0.8800  1 Cl 2.02
Cl 0.2872 0.2872 0.6088  1 P 2.02
Cl 0.5755 0.5755 0.2457  2 Hg 2.65

Calculated values
Fermi-level density of states	0.5624	states/eV/atom
energy	-95.48	eV/cell
space group	No. 8
energy relative to the elements, uncorrected	-240	meV per atom

=====

DFT (meta-GGA SCAN) results for a PBEsol-optimized structure of HgPCl2.

a = 5.3171 Å, b = 4.8202 Å, c = 4.8060 Å
α = 67.06°, β = 56.60°, γ = 56.34°
Closest atoms and distances in Å follow each position.
Fractional positions:
Hg 0.0000 0.0000 0.0000  4 Cl 2.66
P 0.5000 0.5000 0.5000  4 Cl 2.66
Cl 0.0000 0.5000 0.5000  2 P 2.66, 2 Hg 2.66
Cl 0.5000 0.0000 0.0000  2 Hg 2.66, 2 P 2.66

Calculated values
Fermi-level density of states	0.4252	states/eV/atom
energy	-93.53	eV/cell
space group	No. 69
energy relative to the elements, uncorrected	247	meV per atom

=====

DFT (meta-GGA SCAN) results for a PBEsol-optimized structure of HgPCl2.

a = 3.0442 Å, b = 3.0442 Å, c = 8.9019 Å
α = 90.00°, β = 90.00°, γ = 90.00°
Closest atoms and distances in Å follow each position.
Fractional positions:
Hg 0.0000 0.0000 0.0000  4 Hg 3.04
P 0.0000 0.0000 0.5000  8 Cl 2.70
Cl 0.5000 0.5000 0.3174  4 P 2.70
Cl 0.5000 0.5000 0.6826  4 P 2.70

Calculated values
Fermi-level density of states	0.3611	states/eV/atom
energy	-93.05	eV/cell
space group	No. 123
energy relative to the elements, uncorrected	368	meV per atom

=====

DFT (meta-GGA SCAN) results for a PBEsol-optimized structure of Hg3P2Cl2.

a = 12.5814 Å, b = 10.4596 Å, c = 11.8025 Å
α = 90.00°, β = 107.77°, γ = 90.00°
Closest atoms and distances in Å follow each position.
Fractional positions:
Hg 0.0063 0.0482 0.2500  2 P 2.41-2.42, 1 Cl 2.64
Hg 0.0063 0.4518 0.7500  2 P 2.41-2.42, 1 Cl 2.64
Hg 0.1033 0.7472 0.0377  2 P 2.39-2.40
Hg 0.1033 0.7528 0.5377  2 P 2.39-2.40
Hg 0.2182 0.1118 0.6237  2 P 2.40
Hg 0.2182 0.3882 0.1237  2 P 2.40
Hg 0.2422 0.0765 0.0235  2 P 2.44-2.46
Hg 0.2422 0.4235 0.5235  2 P 2.44-2.46
Hg 0.3500 0.7270 0.8683  1 P 2.40, 1 Cl 2.52
Hg 0.3500 0.7730 0.3683  1 P 2.40, 1 Cl 2.52
Hg 0.4316 0.2088 0.3474  2 P 2.43-2.46
Hg 0.4316 0.2912 0.8474  2 P 2.43-2.46
Hg 0.5684 0.7088 0.1526  2 P 2.43-2.46
Hg 0.5684 0.7912 0.6526  2 P 2.43-2.46
Hg 0.6500 0.2270 0.6317  1 P 2.40, 1 Cl 2.52
Hg 0.6500 0.2730 0.1317  1 P 2.40, 1 Cl 2.52
Hg 0.7578 0.5765 0.4765  2 P 2.44-2.46
Hg 0.7578 0.9235 0.9765  2 P 2.44-2.46
Hg 0.7818 0.6118 0.8763  2 P 2.40
Hg 0.7818 0.8882 0.3763  2 P 2.40
Hg 0.8967 0.2472 0.4623  2 P 2.39-2.40
Hg 0.8967 0.2528 0.9623  2 P 2.39-2.40
Hg 0.9937 0.5482 0.2500  2 P 2.41-2.42, 1 Cl 2.64
Hg 0.9937 0.9518 0.7500  2 P 2.41-2.42, 1 Cl 2.64
P 0.0625 0.5321 0.0800  1 P 2.16, 3 Hg 2.39-2.42
P 0.0633 0.5381 0.4643  1 P 2.17, 2 Hg 2.40-2.41
P 0.0633 0.9619 0.9643  1 P 2.17, 2 Hg 2.40-2.41
P 0.0625 0.9679 0.5800  1 P 2.16, 3 Hg 2.39-2.42
P 0.3686 0.2433 0.1312  1 P 2.21, 3 Hg 2.40-2.46
P 0.3686 0.2567 0.6312  1 P 2.21, 3 Hg 2.40-2.46
P 0.4685 0.1328 0.5505  1 P 2.21, 2 Hg 2.40-2.43
P 0.4685 0.3672 0.0505  1 P 2.21, 2 Hg 2.40-2.43
P 0.5315 0.6328 0.9495  1 P 2.21, 2 Hg 2.40-2.43
P 0.5315 0.8672 0.4495  1 P 2.21, 2 Hg 2.40-2.43
P 0.6314 0.7433 0.3688  1 P 2.21, 3 Hg 2.40-2.46
P 0.6314 0.7567 0.8688  1 P 2.21, 3 Hg 2.40-2.46
P 0.9375 0.0321 0.4200  1 P 2.16, 3 Hg 2.39-2.42
P 0.9367 0.0381 0.0357  1 P 2.17, 2 Hg 2.40-2.41
P 0.9367 0.4619 0.5357  1 P 2.17, 2 Hg 2.40-2.41
P 0.9375 0.4679 0.9200  1 P 2.16, 3 Hg 2.39-2.42
Cl 0.1434 0.6821 0.8026  1 Hg 2.52
Cl 0.1434 0.8179 0.3026  1 Hg 2.52
Cl 0.1696 0.2169 0.3108  1 Hg 2.64
Cl 0.1696 0.2831 0.8108  1 Hg 2.64
Cl 0.3265 0.5155 0.3490  3 Hg 2.71-2.91
Cl 0.3265 0.9845 0.8490  3 Hg 2.71-2.91
Cl 0.3288 0.7038 0.6168  3 Hg 2.75-3.05
Cl 0.3288 0.7962 0.1168  3 Hg 2.75-3.05
Cl 0.6712 0.2038 0.8832  3 Hg 2.75-3.05
Cl 0.6712 0.2962 0.3832  3 Hg 2.75-3.05
Cl 0.6735 0.0155 0.1510  3 Hg 2.71-2.91
Cl 0.6735 0.4845 0.6510  3 Hg 2.71-2.91
Cl 0.8304 0.7169 0.1892  1 Hg 2.64
Cl 0.8304 0.7831 0.6892  1 Hg 2.64
Cl 0.8566 0.1821 0.6974  1 Hg 2.52
Cl 0.8566 0.3179 0.1974  1 Hg 2.52

Calculated values
Fermi-level density of states	0.0000	states/eV/atom
energy	-1949.63	eV/cell
space group	No. 14
energy relative to the elements, uncorrected	-350	meV per atom

=====

Among the records above, which one has the lowest Fermi-level density of states? Hg3P2Cl2